A plane-wave DFT calculation with GGA-PBE was carried out for an optimized crystal structure of SrPt5Au7.

Structure (CIF):
```
data_SrPt5Au7
_chemical_formula_sum 'Sr1 Pt5 Au7'
_cell_length_a 5.572
_cell_length_b 7.197
_cell_length_c 7.197
_cell_angle_alpha 81.24
_cell_angle_beta 67.23
_cell_angle_gamma 67.23
_space_group_name_H-M_alt 'P 1'
_space_group_IT_number 1
_space_group_name_Hall 'P 1'
loop_
_atom_site_label
_atom_site_fract_x
_atom_site_fract_y
_atom_site_fract_z
_atom_site_occupancy
Sr1 0.004 0.996 0.996 1
Pt1 0.497 0.000 0.505 1
Pt2 0.998 0.000 0.505 1
Pt3 0.497 0.505 0.000 1
Pt4 0.998 0.505 0.000 1
Pt5 0.735 0.765 0.765 1
Au1 0.664 0.336 0.336 1
Au2 0.340 0.660 0.660 1
Au3 0.998 0.344 0.659 1
Au4 0.998 0.659 0.344 1
Au5 0.273 0.227 0.227 1
Au6 0.499 0.788 0.214 1
Au7 0.499 0.214 0.788 1
```

***

A plane-wave DFT calculation with GGA-PBE was carried out for an optimized crystal structure of Co2Ru.

Structure (CIF):
```
data_Co2Ru
_chemical_formula_sum 'Co8 Ru4'
_cell_length_a 2.541
_cell_length_b 3.898
_cell_length_c 15.466
_cell_angle_alpha 90.00
_cell_angle_beta 90.00
_cell_angle_gamma 90.00
_space_group_name_H-M_alt 'P 1'
_space_group_IT_number 1
_space_group_name_Hall 'P 1'
loop_
_atom_site_label
_atom_site_fract_x
_atom_site_fract_y
_atom_site_fract_z
_atom_site_occupancy
Ru1 0.000 0.250 0.612 1
Ru2 0.000 0.750 0.388 1
Ru3 0.500 0.250 0.888 1
Ru4 0.500 0.750 0.112 1
Co1 0.000 0.250 0.037 1
Co2 0.000 0.250 0.188 1
Co3 0.000 0.750 0.812 1
Co4 0.000 0.750 0.963 1
Co5 0.500 0.250 0.312 1
Co6 0.500 0.250 0.463 1
Co7 0.500 0.750 0.537 1
Co8 0.500 0.750 0.688 1
```

***

Energy relative to the elements in meV/atom, matching the order above: -216, 400